Below is a relaxed LiPmPH crystal, with properties calculated at the PBE level.

```
LiPmPH
1.0
-1.3123 -3.8572 2.0885
3.0786 -2.5662 2.2134
-0.0657 -0.2190 4.5727
H P Pm Li
1 1 1 1
Cartesian
0.4251 -1.6606 2.2187 H
1.2754 -4.9818 6.6560 P
0.0000 0.0000 0.0000 Pm
0.8503 -3.3212 4.4373 Li
```

Output
For the energy, the calculation gives -0.3357 Ry per atom. The calculation puts the energy above the most stable polymorph in this dataset at 99 kJ/mol of formula units. The value obtained for the magnetic moment is 0.00 μB/f.u.

Below is a relaxed LiPmPH crystal, with properties calculated at the PBE level.

```
LiPmPH
1.0
3.8816 0.0000 0.0000
0.0000 3.8816 0.0000
0.0000 0.0000 8.2959
H Pm Li P
2 2 2 2
Cartesian
1.9408 1.9408 0.0000 H
0.0000 0.0000 0.0000 H
1.9408 0.0000 1.3838 Pm
0.0000 1.9408 6.9121 Pm
1.9408 1.9408 4.1479 Li
0.0000 0.0000 4.1479 Li
1.9408 0.0000 5.7684 P
0.0000 1.9408 2.5275 P
```

Output
For the energy, the calculation gives -0.3545 Ry per atom. The calculation puts the energy above the most stable polymorph in this dataset at 0 kJ/mol of formula units. The value obtained for the magnetic moment is 0.00 μB/f.u.